# 1
The following is a DFT calculation (PBE) of a relaxed Sr2PrAg3 crystal.

As for the total energy: -3.041 eV/atom. As for the space group: Cmmm (65). For the magnetization, the calculation gives 0.00 μB/f.u. The value obtained for the formation energy is -24.9 kJ per mole of atoms. The calculation puts the volume at 29.2 Å³/atom.

```
data_Sr2PrAg3
_symmetry_space_group_name_H-M 'P 1'
_symmetry_Int_Tables_number 1
_cell_length_a 5.472
_cell_length_b 8.682
_cell_length_c 7.782
_cell_angle_alpha 90.00
_cell_angle_beta 90.00
_cell_angle_gamma 71.63
loop_
_symmetry_equiv_pos_as_xyz
'x,y,z'
loop_
_atom_site_label
_atom_site_fract_x
_atom_site_fract_y
_atom_site_fract_z
_atom_site_occupancy
Sr1 0.000 0.000 0.000 1
Sr2 0.000 0.000 0.500 1
Sr3 0.333 0.334 0.500 1
Sr4 0.667 0.666 0.500 1
Pr1 0.334 0.331 0.000 1
Pr2 0.666 0.669 0.000 1
Ag1 0.827 0.346 0.777 1
Ag2 0.500 0.000 0.238 1
Ag3 0.173 0.654 0.223 1
Ag4 0.827 0.346 0.223 1
Ag5 0.173 0.654 0.777 1
Ag6 0.500 0.000 0.762 1
```

***

# 2
The following is a DFT calculation (PBE) of a relaxed CoSi2Ag crystal.

As for the total energy: -5.243 eV/atom. For the uncorrected formation energy, the calculation gives -42 meV/atom. As for the space group: Cm (8). For the magnetization, the calculation gives 0.00 μB/f.u. The calculation puts the volume at 15.0 Å³/atom. The polymorph energy (0 for the lowest one) is 1.3 meV/atom.

```
data_CoSi2Ag
_symmetry_space_group_name_H-M 'P 1'
_symmetry_Int_Tables_number 1
_cell_length_a 3.822
_cell_length_b 3.822
_cell_length_c 5.235
_cell_angle_alpha 68.32
_cell_angle_beta 68.32
_cell_angle_gamma 59.84
loop_
_symmetry_equiv_pos_as_xyz
'x,y,z'
loop_
_atom_site_label
_atom_site_fract_x
_atom_site_fract_y
_atom_site_fract_z
_atom_site_occupancy
Ag1 0.510 0.510 0.475 1
Co1 0.322 0.322 0.030 1
Si1 0.953 0.953 0.140 1
Si2 0.714 0.714 0.855 1
```

***

no.,theoretical density (g/cm³)
1,6.06
2,6.19